[1]
The following is a DFT calculation (PBE) of crystalline LaScBr3 at its relaxed geometry.

abc: 5.8759 5.8759 5.8759
angles: 90.00 90.00 90.00
Closest atoms and distances in Å follow each position.
Fractional positions:
Br  0.5000  0.0000  0.0000  2 La 2.94
Br  0.0000  0.5000  0.0000  2 La 2.94
Sc  0.5000  0.5000  0.5000  12 Br 4.15
Br  0.0000  0.0000  0.5000  2 La 2.94
La  0.0000  0.0000  0.0000  6 Br 2.94

ΔE_f (raw) (meV/atom): -772
Electronic total energy (eV per atom): -4.027
Space-group type: Pm-3m (221)

***

[2]
The following is a DFT calculation (PBE) of crystalline LaSc2Br at its relaxed geometry.

abc: 5.5177 5.5177 3.4815
angles: 90.00 90.00 90.00
Closest atoms and distances in Å follow each position.
Fractional positions:
Sc  0.0000  0.0000  0.0000  4 La 3.26, 4 Br 3.26, 2 Sc 3.48
Sc  0.5000  0.5000  0.0000  4 Br 3.26, 4 La 3.26, 2 Sc 3.48
La  0.0000  0.5000  0.5000  8 Sc 3.26, 2 La 3.48
Br  0.5000  0.0000  0.5000  8 Sc 3.26, 2 Br 3.48

ΔE_f (raw) (meV/atom): -31
Electronic total energy (eV per atom): -4.847
Space-group type: P4/mmm (123)

***

[3]
The following is a DFT calculation (PBE) of crystalline LaScBr at its relaxed geometry.

abc: 5.4344 5.4344 5.4344
angles: 60.00 60.00 60.00
Closest atoms and distances in Å follow each position.
Fractional positions:
La  0.7500  0.7500  0.7500  4 Br 3.33, 4 Sc 3.33
Br  0.5000  0.5000  0.5000  4 La 3.33
Sc  0.0000  0.0000  0.0000  4 La 3.33

ΔE_f (raw) (meV/atom): 352
Electronic total energy (eV per atom): -3.959
Space-group type: F-43m (216)

***

[4]
The following is a DFT calculation (PBE) of crystalline LaSc2Br at its relaxed geometry.

abc: 6.0235 6.0235 3.4200
angles: 90.00 90.00 117.18
Closest atoms and distances in Å follow each position.
Fractional positions:
Sc  0.0000  0.0000  0.0000  4 Sc 3.14-3.42, 4 Br 3.46, 4 La 3.46
Br  0.5000  0.0000  0.5000  2 La 3.14, 2 Br 3.42, 8 Sc 3.46
La  0.0000  0.5000  0.5000  2 Br 3.14, 2 La 3.42, 8 Sc 3.46
Sc  0.5000  0.5000  0.0000  4 Sc 3.14-3.42, 4 La 3.46, 4 Br 3.46

ΔE_f (raw) (meV/atom): -74
Electronic total energy (eV per atom): -4.890
Space-group type: Cmmm (65)

***

[5]
The following is a DFT calculation (PBE) of crystalline La2ScBr at its relaxed geometry.

abc: 6.4176 6.4176 5.8453
angles: 73.34 73.34 32.08
Closest atoms and distances in Å follow each position.
Fractional positions:
Br  0.7500  0.7500  0.7500  4 La 3.21, 4 Sc 3.42, 2 Br 3.55
Sc  0.2500  0.2500  0.2500  4 Br 3.42, 2 Sc 3.55, 6 La 3.55-3.76
La  0.0272  0.0272  0.9799  2 Br 3.21, 6 La 3.45-3.55, 1 Sc 3.55
La  0.4728  0.4728  0.5201  2 Br 3.21, 6 La 3.45-3.55, 1 Sc 3.55

ΔE_f (raw) (meV/atom): -243
Electronic total energy (eV per atom): -4.707
Space-group type: C2/m (12)

***

[6]
The following is a DFT calculation (PBE) of crystalline LaScBr at its relaxed geometry.

abc: 5.7147 5.7147 18.3555
angles: 90.00 90.00 120.00
Closest atoms and distances in Å follow each position.
Fractional positions:
Sc  0.3333  0.6667  0.3569  1 Br 2.68
Sc  0.0000  0.0000  0.3097  1 Br 2.68
Sc  0.6667  0.3333  0.6431  1 Br 2.68
Br  0.6667  0.3333  0.1693  1 Sc 2.68
La  0.6667  0.3333  0.8333  6 Br 3.30, 2 Sc 3.49
La  0.0000  0.0000  0.0000  2 Br 3.01, 6 Sc 3.33
La  0.6667  0.3333  0.3333  2 Br 3.01, 6 Sc 3.33
La  0.3333  0.6667  0.6667  2 Br 3.01, 6 Sc 3.33
Sc  0.6667  0.3333  0.0236  1 Br 2.68
Sc  0.0000  0.0000  0.6903  1 Br 2.68
Sc  0.3333  0.6667  0.9764  1 Br 2.68
Br  0.3333  0.6667  0.8307  1 Sc 2.68
Br  0.3333  0.6667  0.5027  1 Sc 2.68
Br  0.0000  0.0000  0.1640  1 Sc 2.68
La  0.0000  0.0000  0.5000  6 Br 3.30, 2 Sc 3.49
Br  0.6667  0.3333  0.4973  1 Sc 2.68
Br  0.0000  0.0000  0.8360  1 Sc 2.68
La  0.3333  0.6667  0.1667  6 Br 3.30, 2 Sc 3.49

ΔE_f (raw) (meV/atom): -683
Electronic total energy (eV per atom): -4.993
Space-group type: R-3m (166)

***

[7]
The following is a DFT calculation (PBE) of crystalline LaSc2Br at its relaxed geometry.

abc: 5.1156 3.5877 6.0831
angles: 73.05 90.00 90.00
Closest atoms and distances in Å follow each position.
Fractional positions:
Sc  0.5000  0.4700  0.1832  1 La 2.98, 4 Sc 3.19
Br  0.0000  0.2767  0.5719  1 Sc 2.92, 4 La 3.18
Sc  0.0000  0.0252  0.0741  1 Br 2.92, 4 Sc 3.19
La  0.5000  0.7282  0.6709  1 Sc 2.98, 4 Br 3.18

ΔE_f (raw) (meV/atom): -328
Electronic total energy (eV per atom): -5.144
Space-group type: Pm (6)

***

[8]
The following is a DFT calculation (PBE) of crystalline La2ScBr at its relaxed geometry.

abc: 5.8581 5.8581 3.5044
angles: 90.00 90.00 96.02
Closest atoms and distances in Å follow each position.
Fractional positions:
Sc  0.5000  0.0000  0.5000  8 La 3.41, 2 Sc 3.50
La  0.5000  0.5000  0.0000  4 Br 3.41, 4 Sc 3.41, 2 La 3.50
Br  0.0000  0.5000  0.5000  8 La 3.41, 2 Br 3.50
La  0.0000  0.0000  0.0000  4 Sc 3.41, 4 Br 3.41, 2 La 3.50

ΔE_f (raw) (meV/atom): -396
Electronic total energy (eV per atom): -4.861
Space-group type: Cmmm (65)

***

[9]
The following is a DFT calculation (PBE) of crystalline LaScBr at its relaxed geometry.

abc: 5.2231 5.2231 5.2231
angles: 60.00 60.00 60.00
Closest atoms and distances in Å follow each position.
Fractional positions:
La  0.5000  0.5000  0.5000  4 Sc 3.20
Sc  0.7500  0.7500  0.7500  4 La 3.20, 4 Br 3.20
Br  0.0000  0.0000  0.0000  4 Sc 3.20

ΔE_f (raw) (meV/atom): 300
Electronic total energy (eV per atom): -4.011
Space-group type: F-43m (216)

***

[10]
The following is a DFT calculation (PBE) of crystalline La2ScBr at its relaxed geometry.

abc: 3.6095 3.6095 9.6344
angles: 90.00 90.00 102.49
Closest atoms and distances in Å follow each position.
Fractional positions:
La  0.0000  0.0000  0.9963  2 Br 3.28, 2 Sc 3.33, 4 La 3.61
La  0.0000  0.0000  0.5037  2 Br 3.28, 2 Sc 3.33, 4 La 3.61
Br  0.5000  0.5000  0.7500  4 La 3.28, 4 Br 3.61
Sc  0.5000  0.5000  0.2500  8 La 3.33-3.73, 4 Sc 3.61

ΔE_f (raw) (meV/atom): -479
Electronic total energy (eV per atom): -4.944
Space-group type: Cmmm (65)

***

[11]
The following is a DFT calculation (PBE) of crystalline LaSc2Br at its relaxed geometry.

abc: 9.9203 9.9203 9.9203
angles: 20.51 20.51 20.51
Closest atoms and distances in Å follow each position.
Fractional positions:
Br  0.2500  0.2500  0.2500  6 Sc 2.96
Sc  0.5095  0.5095  0.5095  3 Br 2.96
Sc  0.9905  0.9905  0.9905  3 Br 2.96
La  0.7500  0.7500  0.7500  6 Sc 3.39, 6 La 3.53

ΔE_f (raw) (meV/atom): -418
Electronic total energy (eV per atom): -5.234
Space-group type: R-3m (166)

***

[12]
The following is a DFT calculation (PBE) of crystalline LaSc2Br at its relaxed geometry.

abc: 5.2983 5.2983 5.2983
angles: 60.00 60.00 60.00
Closest atoms and distances in Å follow each position.
Fractional positions:
Sc  0.7500  0.7500  0.7500  4 La 3.24, 4 Br 3.24
Br  0.0000  0.0000  0.0000  8 Sc 3.24
Sc  0.2500  0.2500  0.2500  4 La 3.24, 4 Br 3.24
La  0.5000  0.5000  0.5000  8 Sc 3.24

ΔE_f (raw) (meV/atom): 213
Electronic total energy (eV per atom): -4.603
Space-group type: Fm-3m (225)

***

[13]
The following is a DFT calculation (PBE) of crystalline LaSc2Br at its relaxed geometry.

abc: 3.4351 3.4351 9.9791
angles: 90.00 90.00 112.03
Closest atoms and distances in Å follow each position.
Fractional positions:
Sc  0.5000  0.5000  0.2627  2 Br 2.85, 2 Sc 3.06
La  0.5000  0.5000  0.7408  2 Br 3.29, 2 Sc 3.41, 4 La 3.44
Br  0.0000  0.0000  0.4731  2 Sc 2.85
Sc  0.0000  0.0000  0.0233  2 Sc 3.06, 2 La 3.41

ΔE_f (raw) (meV/atom): -390
Electronic total energy (eV per atom): -5.206
Space-group type: Cmm2 (35)

***

[14]
The following is a DFT calculation (PBE) of crystalline LaSc2Br at its relaxed geometry.

abc: 5.3629 5.3629 5.3629
angles: 60.00 60.00 60.00
Closest atoms and distances in Å follow each position.
Fractional positions:
La  0.7500  0.7500  0.7500  4 Sc 3.28, 4 Br 3.28
Sc  0.0000  0.0000  0.0000  4 La 3.28, 4 Sc 3.28
Sc  0.2500  0.2500  0.2500  4 Br 3.28, 4 Sc 3.28
Br  0.5000  0.5000  0.5000  4 La 3.28, 4 Sc 3.28

ΔE_f (raw) (meV/atom): 73
Electronic total energy (eV per atom): -4.743
Space-group type: F-43m (216)